DFT (PBE+U) results for a relaxed MnPbIO2 crystal.

a b c (Å): 4.5169 4.5169 7.2714
angles (deg): 90.00 90.00 90.00
Last column: nearest neighbours and their distance in Å.
Fractional coordinates of all 5 atoms:
1 Mn 0.0000 0.0000 0.0000  4 O 2.26
2 Pb 0.5000 0.5000 0.5000  4 I 3.19
3 I 0.0000 0.0000 0.5000  4 Pb 3.19
4 O 0.0000 0.5000 0.0000  2 Mn 2.26
5 O 0.5000 0.0000 0.0000  2 Mn 2.26

Computed properties:
Energy relative to the lowest polymorph listed for this composition in eV/atom: 1.065
Uncorrected energy in Ry per atom: -0.3408